A plane-wave DFT calculation with GGA-PBE was carried out for La5Al4 after structural relaxation.

a = 9.990 Å, b = 9.990 Å, c = 4.796 Å
α = 90.00°, β = 90.00°, γ = 90.00°
Space group I4/mmm (No. 139)
Asymmetric unit:
1 La 0.000 0.000 0.000
2 La 0.174 0.174 0.500
3 Al 0.000 0.357 0.000

Output
Distance to the lowest polymorph of the same formula   189.5 meV/atom


A plane-wave DFT calculation with GGA-PBE was carried out for La5Al4 after structural relaxation.

a = 10.825 Å, b = 5.120 Å, c = 10.207 Å
α = 90.00°, β = 116.17°, γ = 90.00°
Space group C2/m (No. 12)
Asymmetric unit:
1 La 0.000 0.000 0.000
2 La 0.097 0.500 0.838
3 La 0.194 0.500 0.578
4 Al 0.015 0.000 0.635
5 Al 0.216 0.500 0.191

Output
Distance to the lowest polymorph of the same formula   0.0 meV/atom


A plane-wave DFT calculation with GGA-PBE was carried out for LaAl2 after structural relaxation.

a = 3.160 Å, b = 3.836 Å, c = 11.586 Å
α = 90.00°, β = 90.00°, γ = 90.00°
Space group Immm (No. 71)
Asymmetric unit:
1 La 0.000 0.000 0.000
2 Al 0.000 0.000 0.305


A plane-wave DFT calculation with GGA-PBE was carried out for LaAl after structural relaxation.

a = 4.106 Å, b = 5.000 Å, c = 10.434 Å
α = 90.00°, β = 90.00°, γ = 90.00°
Space group Imma (No. 74)
Asymmetric unit:
1 La 0.000 0.250 0.109
2 Al 0.000 0.250 0.669


A plane-wave DFT calculation with GGA-PBE was carried out for LaAl after structural relaxation.

a = 5.437 Å, b = 3.691 Å, c = 5.452 Å
α = 90.00°, β = 97.21°, γ = 90.00°
Space group P2/m (No. 10)
Asymmetric unit:
1 La 0.221 0.000 0.280
2 Al 0.301 0.500 0.803


A plane-wave DFT calculation with GGA-PBE was carried out for La3Al after structural relaxation.

a = 3.6380 Å, b = 3.6380 Å, c = 11.3543 Å
α = 90.00°, β = 90.00°, γ = 120.00°
Space group P-6m2 (No. 187)
Asymmetric unit:
1 La 0.0000 0.0000 0.0000
2 La 0.6667 0.3333 0.2797
3 Al 0.0000 0.0000 0.5000


A plane-wave DFT calculation with GGA-PBE was carried out for LaAl2 after structural relaxation.

a = 3.115 Å, b = 8.389 Å, c = 5.740 Å
α = 90.00°, β = 90.00°, γ = 90.00°
Space group Pnnm (No. 58)
Asymmetric unit:
1 La 0.000 0.000 0.000
2 Al 0.216 0.363 0.000


A plane-wave DFT calculation with GGA-PBE was carried out for La3Al2 after structural relaxation.

a = 5.191 Å, b = 7.190 Å, c = 7.812 Å
α = 90.00°, β = 90.00°, γ = 90.00°
Space group Immm (No. 71)
Asymmetric unit:
1 La 0.000 0.000 0.000
2 La 0.000 0.500 0.200
3 Al 0.000 0.186 0.500


A plane-wave DFT calculation with GGA-PBE was carried out for LaAl after structural relaxation.

a = 6.128 Å, b = 6.128 Å, c = 6.383 Å
α = 90.00°, β = 90.00°, γ = 90.00°
Space group P4_2/mnm (No. 136)
Asymmetric unit:
1 La 0.175 0.175 0.000
2 Al 0.158 0.158 0.500


A plane-wave DFT calculation with GGA-PBE was carried out for LaAl after structural relaxation.

a = 8.604 Å, b = 8.604 Å, c = 8.604 Å
α = 90.00°, β = 90.00°, γ = 90.00°
Space group Pm-3n (No. 223)
Asymmetric unit:
1 La 0.000 0.250 0.500
2 Al 0.000 0.500 0.250


A plane-wave DFT calculation with GGA-PBE was carried out for LaAl after structural relaxation.

a = 4.3848 Å, b = 4.3848 Å, c = 14.5871 Å
α = 90.00°, β = 90.00°, γ = 120.00°
Space group P6_3/mmc (No. 194)
Asymmetric unit:
1 La 0.3333 0.6667 0.1032
2 Al 0.0000 0.0000 0.2500
3 Al 0.3333 0.6667 0.7500


A plane-wave DFT calculation with GGA-PBE was carried out for La3Al5 after structural relaxation.

a = 6.338 Å, b = 15.909 Å, c = 8.178 Å
α = 90.00°, β = 103.03°, γ = 90.00°
Space group C2/m (No. 12)
Asymmetric unit:
1 La 0.000 0.161 0.000
2 La 0.000 0.227 0.500
3 La 0.170 0.000 0.669
4 Al 0.063 0.344 0.167
5 Al 0.168 0.500 0.926
6 Al 0.180 0.413 0.640

Output
Distance to the lowest polymorph of the same formula   0.0 meV/atom


A plane-wave DFT calculation with GGA-PBE was carried out for LaAl after structural relaxation.

a = 3.948 Å, b = 4.685 Å, c = 5.834 Å
α = 90.00°, β = 97.66°, γ = 90.00°
Space group P2_1/m (No. 11)
Asymmetric unit:
1 La 0.076 0.250 0.317
2 Al 0.474 0.250 0.864


A plane-wave DFT calculation with GGA-PBE was carried out for LaAl after structural relaxation.

a = 3.5241 Å, b = 3.5241 Å, c = 10.4249 Å
α = 90.00°, β = 90.00°, γ = 120.00°
Space group P6_3/mmc (No. 194)
Asymmetric unit:
1 La 0.0000 0.0000 0.0000
2 Al 0.3333 0.6667 0.2500


A plane-wave DFT calculation with GGA-PBE was carried out for LaAl after structural relaxation.

a = 11.719 Å, b = 4.097 Å, c = 7.074 Å
α = 90.00°, β = 109.63°, γ = 90.00°
Space group Cm (No. 8)
Asymmetric unit:
1 La 0.000 0.000 0.000
2 La 0.011 0.000 0.458
3 La 0.209 0.500 0.838
4 Al 0.205 0.500 0.340
5 Al 0.309 0.000 0.198
6 Al 0.337 0.000 0.600


A plane-wave DFT calculation with GGA-PBE was carried out for LaAl2 after structural relaxation.

a = 4.429 Å, b = 4.429 Å, c = 15.588 Å
α = 90.00°, β = 90.00°, γ = 90.00°
Space group I4_1/amd (No. 141, origin choice 2)
Asymmetric unit:
1 La 0.000 0.250 0.375
2 Al 0.000 0.250 0.792


A plane-wave DFT calculation with GGA-PBE was carried out for LaAl2 after structural relaxation.

a = 3.2072 Å, b = 3.2072 Å, c = 7.8053 Å
α = 90.00°, β = 90.00°, γ = 120.00°
Space group P-3m1 (No. 164)
Asymmetric unit:
1 La 0.0000 0.0000 0.0000
2 Al 0.3333 0.6667 0.6399


A plane-wave DFT calculation with GGA-PBE was carried out for La3Al after structural relaxation.

a = 8.682 Å, b = 9.581 Å, c = 6.472 Å
α = 90.00°, β = 90.00°, γ = 90.00°
Space group Pnma (No. 62)
Asymmetric unit:
1 La 0.038 0.250 0.098
2 La 0.179 0.044 0.634
3 Al 0.113 0.750 0.418


A plane-wave DFT calculation with GGA-PBE was carried out for LaAl2 after structural relaxation.

a = 4.323 Å, b = 14.350 Å, c = 4.495 Å
α = 90.00°, β = 90.00°, γ = 90.00°
Space group Cmcm (No. 63)
Asymmetric unit:
1 La 0.000 0.083 0.250
2 Al 0.000 0.250 0.750
3 Al 0.000 0.367 0.250


A plane-wave DFT calculation with GGA-PBE was carried out for LaAl after structural relaxation.

a = 6.111 Å, b = 6.111 Å, c = 6.111 Å
α = 90.00°, β = 90.00°, γ = 90.00°
Space group P2_13 (No. 198)
Asymmetric unit:
1 La 0.080 0.080 0.080
2 Al 0.093 0.593 0.907


A plane-wave DFT calculation with GGA-PBE was carried out for LaAl2 after structural relaxation.

a = 3.121 Å, b = 21.146 Å, c = 4.444 Å
α = 90.00°, β = 90.00°, γ = 90.00°
Space group Cmcm (No. 63)
Asymmetric unit:
1 La 0.000 0.117 0.250
2 Al 0.000 0.236 0.750
3 Al 0.000 0.468 0.250


A plane-wave DFT calculation with GGA-PBE was carried out for LaAl after structural relaxation.

a = 6.401 Å, b = 6.401 Å, c = 6.401 Å
α = 90.00°, β = 90.00°, γ = 90.00°
Space group Fm-3m (No. 225)
Asymmetric unit:
1 La 0.000 0.000 0.000
2 Al 0.000 0.000 0.500


A plane-wave DFT calculation with GGA-PBE was carried out for LaAl5 after structural relaxation.

a = 4.435 Å, b = 4.384 Å, c = 12.630 Å
α = 90.00°, β = 90.00°, γ = 90.00°
Space group Amm2 (No. 38)
Asymmetric unit:
1 La 0.000 0.000 0.000
2 Al 0.000 0.000 0.313
3 Al 0.000 0.000 0.683
4 Al 0.500 0.000 0.175
5 Al 0.500 0.000 0.466
6 Al 0.500 0.000 0.820


A plane-wave DFT calculation with GGA-PBE was carried out for La3Al2 after structural relaxation.

a = 5.2280 Å, b = 5.2280 Å, c = 6.5463 Å
α = 90.00°, β = 90.00°, γ = 120.00°
Space group P-3m1 (No. 164)
Asymmetric unit:
1 La 0.0000 0.0000 0.0000
2 La 0.3333 0.6667 0.3610
3 Al 0.3333 0.6667 0.8515


A plane-wave DFT calculation with GGA-PBE was carried out for LaAl after structural relaxation.

a = 3.7398 Å, b = 3.7398 Å, c = 9.6808 Å
α = 90.00°, β = 90.00°, γ = 120.00°
Space group P-3m1 (No. 164)
Asymmetric unit:
1 La 0.3333 0.6667 0.1741
2 Al 0.3333 0.6667 0.5822


A plane-wave DFT calculation with GGA-PBE was carried out for LaAl4 after structural relaxation.

a = 5.709 Å, b = 5.709 Å, c = 5.709 Å
α = 90.00°, β = 90.00°, γ = 90.00°
Space group Pm-3m (No. 221)
Asymmetric unit:
1 La 0.000 0.000 0.000
2 Al 0.000 0.000 0.500
3 Al 0.500 0.500 0.500

Output
Distance to the lowest polymorph of the same formula   1690.8 meV/atom


| no. | energy relative to the elements (kJ per mole of atoms) |
| --- | --- |
| 1 | -14 |
| 2 | -32 |
| 3 | -24 |
| 4 | -38 |
| 5 | -35 |
| 6 | 0 |
| 7 | 9 |
| 8 | -31 |
| 9 | -8 |
| 10 | 83 |
| 11 | -23 |
| 12 | -33 |
| 13 | -33 |
| 14 | 0 |
| 15 | -30 |
| 16 | -44 |
| 17 | 5 |
| 18 | -12 |
| 19 | -28 |
| 20 | -13 |
| 21 | -17 |
| 22 | 10 |
| 23 | -18 |
| 24 | -18 |
| 25 | 1 |
| 26 | 128 |